1.
Here is crystalline CrCo2Os at its relaxed geometry from Alexandria. Energies are from PBE-GGA.

Structure (CIF):
```
data_CrCo2Os
_chemical_formula_sum 'Cr3 Co6 Os3'
_symmetry_space_group_name_H-M 'R -3 m'
_symmetry_Int_Tables_number 166
_symmetry_space_group_name_Hall '-R 3 2"'
_cell_length_a 2.5898
_cell_length_b 2.5898
_cell_length_c 24.6676
_cell_angle_alpha 90.00
_cell_angle_beta 90.00
_cell_angle_gamma 120.00
loop_
_atom_site_label
_atom_site_fract_x
_atom_site_fract_y
_atom_site_fract_z
_atom_site_occupancy
Cr1 0.0000 0.0000 0.0000 1
Co1 0.0000 0.0000 0.2530 1
Os1 0.0000 0.0000 0.5000 1
```

2.
# Sr3TePb (PBE-GGA, optimized geometry)
data_Sr3TePb
_chemical_formula_sum 'Sr3 Te1 Pb1'
_symmetry_space_group_name_H-M 'P m -3 m'
_symmetry_Int_Tables_number 221
_symmetry_space_group_name_Hall '-P 4 2 3'
_cell_length_a 6.1470
_cell_length_b 6.1470
_cell_length_c 6.1470
_cell_angle_alpha 90.00
_cell_angle_beta 90.00
_cell_angle_gamma 90.00
loop_
_atom_site_label
_atom_site_fract_x
_atom_site_fract_y
_atom_site_fract_z
_atom_site_occupancy
Sr1 0.0000 0.0000 0.5000 1
Te1 0.0000 0.0000 0.0000 1
Pb1 0.5000 0.5000 0.5000 1
# Formation energy without anion corrections ... -298 kJ/mol of formula units

3.
# MgHgSe (PBE-GGA, optimized geometry)
data_MgHgSe
_chemical_formula_sum 'Mg4 Hg4 Se4'
_symmetry_space_group_name_H-M 'F -4 3 m'
_symmetry_Int_Tables_number 216
_symmetry_space_group_name_Hall 'F -4 2 3'
_cell_length_a 6.7089
_cell_length_b 6.7089
_cell_length_c 6.7089
_cell_angle_alpha 90.00
_cell_angle_beta 90.00
_cell_angle_gamma 90.00
loop_
_atom_site_label
_atom_site_fract_x
_atom_site_fract_y
_atom_site_fract_z
_atom_site_occupancy
Mg1 0.0000 0.0000 0.0000 1
Hg1 0.2500 0.2500 0.7500 1
Se1 0.2500 0.2500 0.2500 1
# Formation energy without anion corrections ... -136 kJ/mol of formula units

4.
Here is crystalline SmDy5P6 at its relaxed geometry from Alexandria. Energies are from PBE-GGA.

Structure (CIF):
```
data_SmDy5P6
_chemical_formula_sum 'Sm2 Dy10 P12'
_symmetry_space_group_name_H-M 'C 1 2/m 1'
_symmetry_Int_Tables_number 12
_cell_length_a 6.9730
_cell_length_b 12.0721
_cell_length_c 6.9709
_cell_angle_alpha 90.00
_cell_angle_beta 109.49
_cell_angle_gamma 90.00
loop_
_symmetry_equiv_pos_as_xyz
'x,y,z'
'-x,-y,-z'
'-x,y,-z'
'x,-y,z'
'x+1/2,y+1/2,z'
'-x+1/2,-y+1/2,-z'
'-x+1/2,y+1/2,-z'
'x+1/2,-y+1/2,z'
loop_
_atom_site_label
_atom_site_fract_x
_atom_site_fract_y
_atom_site_fract_z
_atom_site_occupancy
Sm1 0.0000 0.0000 0.0000 1
Dy1 0.0000 0.1660 0.5000 1
Dy2 0.0000 0.3331 0.0000 1
Dy3 0.0000 0.5000 0.5000 1
P1 0.2472 0.5000 0.2517 1
P2 0.2476 0.3317 0.7478 1
```

5.
Here is crystalline Pu2MgAl at its relaxed geometry from Alexandria. Energies are from PBE-GGA.

Structure (CIF):
```
data_Pu2MgAl
_chemical_formula_sum 'Pu2 Mg1 Al1'
_symmetry_space_group_name_H-M 'P 4/m m m'
_symmetry_Int_Tables_number 123
_symmetry_space_group_name_Hall '-P 4 2'
_cell_length_a 3.9531
_cell_length_b 3.9531
_cell_length_c 6.1578
_cell_angle_alpha 90.00
_cell_angle_beta 90.00
_cell_angle_gamma 90.00
loop_
_atom_site_label
_atom_site_fract_x
_atom_site_fract_y
_atom_site_fract_z
_atom_site_occupancy
Pu1 0.0000 0.0000 0.2337 1
Mg1 0.5000 0.5000 0.5000 1
Al1 0.5000 0.5000 0.0000 1
```

6.
# CaSeOF2 (PBE-GGA, optimized geometry)
data_CaSeOF2
_chemical_formula_sum 'Ca1 Se1 O1 F2'
_symmetry_space_group_name_H-M 'P 4/m m m'
_symmetry_Int_Tables_number 123
_symmetry_space_group_name_Hall '-P 4 2'
_cell_length_a 4.6489
_cell_length_b 4.6489
_cell_length_c 3.9012
_cell_angle_alpha 90.00
_cell_angle_beta 90.00
_cell_angle_gamma 90.00
loop_
_atom_site_label
_atom_site_fract_x
_atom_site_fract_y
_atom_site_fract_z
_atom_site_occupancy
Ca1 0.0000 0.0000 0.0000 1
Se1 0.5000 0.5000 0.5000 1
O1 0.5000 0.5000 0.0000 1
F1 0.0000 0.5000 0.5000 1
# Formation energy without anion corrections ... -694 kJ/mol of formula units

7.
# YZr2Br (PBE-GGA, optimized geometry)
data_YZr2Br
_chemical_formula_sum 'Y1 Zr2 Br1'
_symmetry_space_group_name_H-M 'P 4 m m'
_symmetry_Int_Tables_number 99
_cell_length_a 3.3649
_cell_length_b 3.3649
_cell_length_c 9.3919
_cell_angle_alpha 90.00
_cell_angle_beta 90.00
_cell_angle_gamma 90.00
loop_
_symmetry_equiv_pos_as_xyz
'x,y,z'
'-y,x,z'
'-x,-y,z'
'y,-x,z'
'-x,y,z'
'y,x,z'
'x,-y,z'
'-y,-x,z'
loop_
_atom_site_label
_atom_site_fract_x
_atom_site_fract_y
_atom_site_fract_z
_atom_site_occupancy
Y1 0.0000 0.0000 0.0000 1
Zr1 0.0000 0.0000 0.4697 1
Zr2 0.5000 0.5000 0.2579 1
Br1 0.5000 0.5000 0.7940 1
# Formation energy without anion corrections ... -99 kJ/mol of formula units

8.
# BiPb3Se (PBE-GGA, optimized geometry)
data_BiPb3Se
_chemical_formula_sum 'Bi1 Pb3 Se1'
_symmetry_space_group_name_H-M 'P m -3 m'
_symmetry_Int_Tables_number 221
_symmetry_space_group_name_Hall '-P 4 2 3'
_cell_length_a 6.0211
_cell_length_b 6.0211
_cell_length_c 6.0211
_cell_angle_alpha 90.00
_cell_angle_beta 90.00
_cell_angle_gamma 90.00
loop_
_atom_site_label
_atom_site_fract_x
_atom_site_fract_y
_atom_site_fract_z
_atom_site_occupancy
Bi1 0.0000 0.0000 0.0000 1
Pb1 0.0000 0.0000 0.5000 1
Se1 0.5000 0.5000 0.5000 1
# Formation energy without anion corrections ... 306 kJ/mol of formula units

9.
Here is crystalline Mg2ScCd at its relaxed geometry from Alexandria. Energies are from PBE-GGA.

Structure (CIF):
```
data_Mg2ScCd
_chemical_formula_sum 'Mg4 Sc2 Cd2'
_symmetry_space_group_name_H-M 'I m m m'
_symmetry_Int_Tables_number 71
_symmetry_space_group_name_Hall '-I 2 2'
_cell_length_a 3.3848
_cell_length_b 5.1375
_cell_length_c 10.3979
_cell_angle_alpha 90.00
_cell_angle_beta 90.00
_cell_angle_gamma 90.00
loop_
_atom_site_label
_atom_site_fract_x
_atom_site_fract_y
_atom_site_fract_z
_atom_site_occupancy
Mg1 0.0000 0.0000 0.2362 1
Sc1 0.0000 0.5000 0.0000 1
Cd1 0.0000 0.5000 0.5000 1
```

10.
Here is crystalline Sc10Sn3Pb3 at its relaxed geometry from Alexandria. Energies are from PBE-GGA.

Structure (CIF):
```
data_Sc10Sn3Pb3
_chemical_formula_sum 'Sc10 Sn3 Pb3'
_symmetry_space_group_name_H-M 'P -6 2 m'
_symmetry_Int_Tables_number 189
_symmetry_space_group_name_Hall 'P -6 -2'
_cell_length_a 8.4945
_cell_length_b 8.4945
_cell_length_c 6.1308
_cell_angle_alpha 90.00
_cell_angle_beta 90.00
_cell_angle_gamma 120.00
loop_
_atom_site_label
_atom_site_fract_x
_atom_site_fract_y
_atom_site_fract_z
_atom_site_occupancy
Sc1 0.0000 0.2352 0.0000 1
Sc2 0.0000 0.7656 0.5000 1
Sc3 0.3333 0.6667 0.2463 1
Sn1 0.0000 0.6064 0.0000 1
Pb1 0.0000 0.3953 0.5000 1
```

11.
# TlFe2RuN (PBE-GGA, optimized geometry)
data_TlFe2RuN
_chemical_formula_sum 'Tl1 Fe2 Ru1 N1'
_symmetry_space_group_name_H-M 'P 4/m m m'
_symmetry_Int_Tables_number 123
_symmetry_space_group_name_Hall '-P 4 2'
_cell_length_a 3.9487
_cell_length_b 3.9487
_cell_length_c 4.1498
_cell_angle_alpha 90.00
_cell_angle_beta 90.00
_cell_angle_gamma 90.00
loop_
_atom_site_label
_atom_site_fract_x
_atom_site_fract_y
_atom_site_fract_z
_atom_site_occupancy
Tl1 0.0000 0.0000 0.0000 1
Fe1 0.0000 0.5000 0.5000 1
Ru1 0.5000 0.5000 0.0000 1
N1 0.5000 0.5000 0.5000 1
# Formation energy without anion corrections ... 115 kJ/mol of formula units

12.
Here is crystalline LiRePb2 at its relaxed geometry from Alexandria. Energies are from PBE-GGA.

Structure (CIF):
```
data_LiRePb2
_chemical_formula_sum 'Li4 Re4 Pb8'
_symmetry_space_group_name_H-M 'I -4 2 d'
_symmetry_Int_Tables_number 122
_symmetry_space_group_name_Hall 'I -4 2bw'
_cell_length_a 6.5794
_cell_length_b 6.5794
_cell_length_c 12.4842
_cell_angle_alpha 90.00
_cell_angle_beta 90.00
_cell_angle_gamma 90.00
loop_
_atom_site_label
_atom_site_fract_x
_atom_site_fract_y
_atom_site_fract_z
_atom_site_occupancy
Li1 0.0000 0.0000 0.0000 1
Re1 0.0000 0.0000 0.5000 1
Pb1 0.2017 0.2500 0.6250 1
```

13.
Here is crystalline HfSc2Ge at its relaxed geometry from Alexandria. Energies are from PBE-GGA.

Structure (CIF):
```
data_HfSc2Ge
_chemical_formula_sum 'Hf4 Sc8 Ge4'
_symmetry_space_group_name_H-M 'I -4 2 d'
_symmetry_Int_Tables_number 122
_symmetry_space_group_name_Hall 'I -4 2bw'
_cell_length_a 7.9393
_cell_length_b 7.9393
_cell_length_c 5.6514
_cell_angle_alpha 90.00
_cell_angle_beta 90.00
_cell_angle_gamma 90.00
loop_
_atom_site_label
_atom_site_fract_x
_atom_site_fract_y
_atom_site_fract_z
_atom_site_occupancy
Hf1 0.0000 0.0000 0.0000 1
Sc1 0.2089 0.2500 0.6250 1
Ge1 0.0000 0.0000 0.5000 1
```

14.
# Al2AgBr (PBE-GGA, optimized geometry)
data_Al2AgBr
_chemical_formula_sum 'Al8 Ag4 Br4'
_symmetry_space_group_name_H-M 'I -4 2 d'
_symmetry_Int_Tables_number 122
_symmetry_space_group_name_Hall 'I -4 2bw'
_cell_length_a 6.4348
_cell_length_b 6.4348
_cell_length_c 11.3338
_cell_angle_alpha 90.00
_cell_angle_beta 90.00
_cell_angle_gamma 90.00
loop_
_atom_site_label
_atom_site_fract_x
_atom_site_fract_y
_atom_site_fract_z
_atom_site_occupancy
Al1 0.2045 0.2500 0.1250 1
Ag1 0.0000 0.0000 0.0000 1
Br1 0.0000 0.0000 0.5000 1
# Formation energy without anion corrections ... 84 kJ/mol of formula units

15.
Here is crystalline Al3As2 at its relaxed geometry from Alexandria. Energies are from PBE-GGA.

Structure (CIF):
```
data_Al3As2
_chemical_formula_sum 'Al9 As6'
_symmetry_space_group_name_H-M 'R -3 m'
_symmetry_Int_Tables_number 166
_symmetry_space_group_name_Hall '-R 3 2"'
_cell_length_a 3.7845
_cell_length_b 3.7845
_cell_length_c 23.3914
_cell_angle_alpha 90.00
_cell_angle_beta 90.00
_cell_angle_gamma 120.00
loop_
_atom_site_label
_atom_site_fract_x
_atom_site_fract_y
_atom_site_fract_z
_atom_site_occupancy
Al1 0.0000 0.0000 0.0000 1
Al2 0.0000 0.0000 0.2079 1
As1 0.0000 0.0000 0.3990 1
```

16.
# Li3CdPd3O8 (PBE-GGA, optimized geometry)
data_Li3CdPd3O8
_chemical_formula_sum 'Li6 Cd2 Pd6 O16'
_symmetry_space_group_name_H-M 'C 1 2/m 1'
_symmetry_Int_Tables_number 12
_cell_length_a 11.2752
_cell_length_b 6.0455
_cell_length_c 5.6728
_cell_angle_alpha 90.00
_cell_angle_beta 115.25
_cell_angle_gamma 90.00
loop_
_symmetry_equiv_pos_as_xyz
'x,y,z'
'-x,-y,-z'
'-x,y,-z'
'x,-y,z'
'x+1/2,y+1/2,z'
'-x+1/2,-y+1/2,-z'
'-x+1/2,y+1/2,-z'
'x+1/2,-y+1/2,z'
loop_
_atom_site_label
_atom_site_fract_x
_atom_site_fract_y
_atom_site_fract_z
_atom_site_occupancy
Li1 0.0000 0.0000 0.0000 1
Li2 0.2500 0.2500 0.5000 1
Cd1 0.0000 0.0000 0.5000 1
Pd1 0.0000 0.5000 0.5000 1
Pd2 0.2500 0.2500 0.0000 1
O1 0.0529 0.2751 0.7855 1
O2 0.2042 0.0000 0.1959 1
O3 0.2412 0.0000 0.7461 1
# Formation energy without anion corrections ... -1241 kJ/mol of formula units

17.
Here is crystalline CaPaSnAu at its relaxed geometry from Alexandria. Energies are from PBE-GGA.

Structure (CIF):
```
data_CaPaSnAu
_chemical_formula_sum 'Ca4 Pa4 Sn4 Au4'
_symmetry_space_group_name_H-M 'F -4 3 m'
_symmetry_Int_Tables_number 216
_symmetry_space_group_name_Hall 'F -4 2 3'
_cell_length_a 7.4524
_cell_length_b 7.4524
_cell_length_c 7.4524
_cell_angle_alpha 90.00
_cell_angle_beta 90.00
_cell_angle_gamma 90.00
loop_
_atom_site_label
_atom_site_fract_x
_atom_site_fract_y
_atom_site_fract_z
_atom_site_occupancy
Ca1 0.0000 0.0000 0.0000 1
Pa1 0.0000 0.0000 0.5000 1
Sn1 0.2500 0.2500 0.2500 1
Au1 0.2500 0.2500 0.7500 1
```

18.
Here is crystalline GdErMnOs at its relaxed geometry from Alexandria. Energies are from PBE-GGA.

Structure (CIF):
```
data_GdErMnOs
_chemical_formula_sum 'Gd4 Er4 Mn4 Os4'
_symmetry_space_group_name_H-M 'F -4 3 m'
_symmetry_Int_Tables_number 216
_symmetry_space_group_name_Hall 'F -4 2 3'
_cell_length_a 6.9304
_cell_length_b 6.9304
_cell_length_c 6.9304
_cell_angle_alpha 90.00
_cell_angle_beta 90.00
_cell_angle_gamma 90.00
loop_
_atom_site_label
_atom_site_fract_x
_atom_site_fract_y
_atom_site_fract_z
_atom_site_occupancy
Gd1 0.0000 0.0000 0.0000 1
Er1 0.0000 0.0000 0.5000 1
Mn1 0.2500 0.2500 0.2500 1
Os1 0.2500 0.2500 0.7500 1
```

19.
# Sr2CaTlN (PBE-GGA, optimized geometry)
data_Sr2CaTlN
_chemical_formula_sum 'Sr2 Ca1 Tl1 N1'
_symmetry_space_group_name_H-M 'P 4/m m m'
_symmetry_Int_Tables_number 123
_symmetry_space_group_name_Hall '-P 4 2'
_cell_length_a 5.3864
_cell_length_b 5.3864
_cell_length_c 4.8631
_cell_angle_alpha 90.00
_cell_angle_beta 90.00
_cell_angle_gamma 90.00
loop_
_atom_site_label
_atom_site_fract_x
_atom_site_fract_y
_atom_site_fract_z
_atom_site_occupancy
Sr1 0.0000 0.5000 0.0000 1
Ca1 0.0000 0.0000 0.5000 1
Tl1 0.5000 0.5000 0.5000 1
N1 0.0000 0.0000 0.0000 1
# Formation energy without anion corrections ... -248 kJ/mol of formula units

20.
Here is crystalline Sr2MnNi at its relaxed geometry from Alexandria. Energies are from PBE-GGA.

Structure (CIF):
```
data_Sr2MnNi
_chemical_formula_sum 'Sr2 Mn1 Ni1'
_symmetry_space_group_name_H-M 'P 4/m m m'
_symmetry_Int_Tables_number 123
_symmetry_space_group_name_Hall '-P 4 2'
_cell_length_a 5.2645
_cell_length_b 5.2645
_cell_length_c 3.8518
_cell_angle_alpha 90.00
_cell_angle_beta 90.00
_cell_angle_gamma 90.00
loop_
_atom_site_label
_atom_site_fract_x
_atom_site_fract_y
_atom_site_fract_z
_atom_site_occupancy
Sr1 0.0000 0.5000 0.0000 1
Mn1 0.0000 0.0000 0.5000 1
Ni1 0.5000 0.5000 0.5000 1
```

The total DFT energy (no corrections) results, record by record, are as follows: -8.56, -3.00, -2.26, -6.62, -8.43, -4.27, -6.56, -3.06, -2.69, -5.98, -7.14, -4.32, -6.76, -2.78, -4.22, -4.98, -5.02, -9.74, -3.73, -4.12 eV per atom.